[1]
The following is a PBE calculation of an optimized crystal structure of PmAlZn2Pd, from the Alexandria database.

abc: 3.9505 4.3909 11.0022
angles: 90.00 90.00 90.00
Closest atoms and distances in Å follow each position.
Space group Imm2 (No. 44)
Symmetry-distinct sites (fractional):
Pm 0.0000 0.0000 0.0000 (multiplicity 2)  8 Zn 3.19-3.58, 4 Al 3.23, 4 Pd 3.33-3.58
Al 0.0000 0.0000 0.3811 (multiplicity 2)  2 Pd 2.49, 3 Zn 2.53-2.59
Zn 0.0000 0.0000 0.6106 (multiplicity 2)  1 Al 2.53, 2 Zn 2.55, 2 Pd 2.64
Zn 0.0000 0.5000 0.2566 (multiplicity 2)  2 Zn 2.55, 2 Al 2.59
Pd 0.0000 0.5000 0.7433 (multiplicity 2)  2 Al 2.49, 2 Zn 2.64

Computed properties:
Electronic total energy: -0.138 Ha/atom



[2]
The following is a PBE calculation of an optimized crystal structure of PmAlZn2Pd4, from the Alexandria database.

abc: 4.3654 4.3654 25.0673
angles: 90.00 90.00 120.00
Closest atoms and distances in Å follow each position.
Space group R-3m (No. 166, hexagonal axes)
Symmetry-distinct sites (fractional):
Pm 0.0000 0.0000 0.0000 (multiplicity 3)  8 Pd 3.04-3.32, 6 Zn 3.40
Al 0.0000 0.0000 0.5000 (multiplicity 3)  8 Pd 2.47-2.66
Zn 0.0000 0.0000 0.2420 (multiplicity 6)  7 Pd 2.59-2.75
Pd 0.0000 0.0000 0.1325 (multiplicity 6)  3 Al 2.66, 4 Zn 2.72-2.75
Pd 0.0000 0.0000 0.4013 (multiplicity 6)  1 Al 2.47, 3 Zn 2.59

Computed properties:
Electronic total energy: -0.171 Ha/atom



[3]
The following is a PBE calculation of an optimized crystal structure of Pm2AlZn4Pd3, from the Alexandria database.

abc: 3.9672 3.9672 12.0627
angles: 90.00 90.00 90.00
Closest atoms and distances in Å follow each position.
Space group P-4m2 (No. 115)
Symmetry-distinct sites (fractional):
Pm 0.0000 0.5000 0.2467 (multiplicity 2)  4 Pd 3.06, 4 Zn 3.12
Al 0.0000 0.0000 0.5000 (multiplicity 1)  4 Zn 2.61, 4 Pd 2.81
Zn 0.0000 0.0000 0.0000 (multiplicity 1)  4 Pd 2.64, 4 Zn 2.81
Zn 0.0000 0.5000 0.6407 (multiplicity 2)  3 Pd 2.59-2.61, 2 Al 2.61
Zn 0.5000 0.5000 0.0000 (multiplicity 1)  4 Pd 2.64, 4 Zn 2.81
Pd 0.0000 0.5000 0.8552 (multiplicity 2)  5 Zn 2.59-2.64
Pd 0.5000 0.5000 0.5000 (multiplicity 1)  4 Zn 2.61, 4 Al 2.81

Computed properties:
Electronic total energy: -0.146 Ha/atom



[4]
The following is a PBE calculation of an optimized crystal structure of PmAlZnPd3, from the Alexandria database.

abc: 6.6950 11.9869 5.7927
angles: 90.00 90.00 90.00
Closest atoms and distances in Å follow each position.
Space group Cmcm (No. 63)
Symmetry-distinct sites (fractional):
Pm 0.0000 0.2062 0.2500 (multiplicity 4)  1 Zn 2.95, 2 Al 3.05, 6 Pd 3.19-3.25
Al 0.0000 0.1264 0.7500 (multiplicity 4)  5 Pd 2.43-2.52
Zn 0.0000 0.4522 0.2500 (multiplicity 4)  5 Pd 2.50-2.62
Pd 0.0000 0.3293 0.7500 (multiplicity 4)  1 Al 2.43, 1 Zn 2.62
Pd 0.2081 0.0000 0.0000 (multiplicity 8)  2 Zn 2.50, 2 Al 2.52, 1 Pd 2.79

Computed properties:
Electronic total energy: -0.176 Ha/atom



[5]
The following is a PBE calculation of an optimized crystal structure of PmAlZnPd, from the Alexandria database.

abc: 6.7520 6.7520 6.7520
angles: 90.00 90.00 90.00
Closest atoms and distances in Å follow each position.
Space group F-43m (No. 216)
Symmetry-distinct sites (fractional):
Pm 0.0000 0.0000 0.0000 (multiplicity 4)  4 Zn 2.92, 4 Pd 2.92
Al 0.0000 0.0000 0.5000 (multiplicity 4)  4 Pd 2.92, 4 Zn 2.92
Zn 0.2500 0.2500 0.2500 (multiplicity 4)  4 Al 2.92, 4 Pm 2.92
Pd 0.2500 0.2500 0.7500 (multiplicity 4)  4 Pm 2.92, 4 Al 2.92

Computed properties:
Electronic total energy: -0.158 Ha/atom



[6]
The following is a PBE calculation of an optimized crystal structure of PmAlZnPd2, from the Alexandria database.

abc: 5.3537 13.0402 5.6322
angles: 90.00 90.00 90.00
Closest atoms and distances in Å follow each position.
Space group Cmme (No. 67)
Symmetry-distinct sites (fractional):
Pm 0.0000 0.2500 0.2282 (multiplicity 4)  8 Pd 3.00-3.29
Al 0.2500 0.0000 0.5000 (multiplicity 4)  4 Pd 2.55, 2 Al 2.68
Zn 0.0000 0.0000 0.0000 (multiplicity 4)  2 Pd 2.52, 2 Zn 2.68
Pd 0.0000 0.1429 0.6988 (multiplicity 8)  1 Zn 2.52, 2 Al 2.55, 1 Pd 2.79

Computed properties:
Electronic total energy: -0.170 Ha/atom